Entry 1:
4
Lattice="-0.3385 4.1669 -0.4622 -1.5709 3.2166 2.2084 4.6876 2.3685 3.0058" Properties=species:S:1:pos:R:3 comment="GGA-PBE BeAs2Os, optimized geometry" total_magnetization_mub_per_fu=0.0 ef_ev_per_atom=0.134 pbc="T T T"
As 1.6213 6.8110 3.1717
As 0.5028 0.3809 0.3676
Be 1.1742 4.8015 2.2503
Os 0.8689 2.6345 1.3384

Entry 2:
4
Lattice="4.3258 0.0000 0.0000 2.1629 3.7463 0.0000 2.1629 1.2488 3.5320" Properties=species:S:1:pos:R:3 comment="GGA-PBE BeAs2Os, optimized geometry" total_magnetization_mub_per_fu=0.0 ef_ev_per_atom=0.629 pbc="T T T"
As 2.1629 1.2488 0.8830
As 0.0000 0.0000 0.0000
Os 6.4888 3.7463 2.6490
Be 4.3258 2.4975 1.7660

Entry 3:
4
Lattice="-1.9622 -4.0535 0.3807 2.7991 -3.1323 1.6675 -1.1588 4.1698 1.3024" Properties=species:S:1:pos:R:3 comment="GGA-PBE Be2AsOs, optimized geometry" total_magnetization_mub_per_fu=0.0 ef_ev_per_atom=0.193 pbc="T T T"
Os 0.4185 -3.5929 1.0241
Be 0.0000 0.0000 0.0000
Be 1.0294 -1.2777 1.9970
As -1.3513 -1.7383 1.3536

Entry 4:
4
Lattice="-3.5594 -1.4671 -0.8011 -0.5719 -1.2086 4.7545 -2.0648 2.8484 3.9574" Properties=species:S:1:pos:R:3 comment="GGA-PBE BeAs2Os, optimized geometry" total_magnetization_mub_per_fu=0.0 ef_ev_per_atom=0.415 pbc="T T T"
Os -3.7573 0.4963 6.1334
As -1.4578 0.6322 5.3190
As -2.4973 1.8275 7.7489
Be -2.4389 -0.3236 1.7774

Entry 5:
3
Lattice="6.4653 -0.1718 1.0672 5.8241 2.6495 1.0633 0.8956 -1.3658 2.3940" Properties=species:S:1:pos:R:3 comment="GGA-PBE BeAsOs, optimized geometry" total_magnetization_mub_per_fu=0.0 de_polymorph_mev_per_atom=331.4 ef_ev_per_atom=0.404 pbc="T T T"
Be 2.6094 -0.4561 1.6590
As 6.9161 0.3162 2.3666
Os 4.5552 -0.1140 2.8930

Entry 6:
3
Lattice="-0.2187 3.6303 -1.3235 -2.9433 1.0539 -2.2814 -2.7318 2.3888 1.3452" Properties=species:S:1:pos:R:3 comment="GGA-PBE BeAsOs, optimized geometry" total_magnetization_mub_per_fu=0.0 de_polymorph_mev_per_atom=348.2 ef_ev_per_atom=0.421 pbc="T T T"
Os 0.0000 0.0000 0.0000
As -2.9469 3.5365 -1.1298
Be -4.4203 5.3048 -1.6947

Entry 7:
4
Lattice="2.9873 0.0000 0.0000 0.0000 2.9873 0.0000 0.0000 0.0000 6.5755" Properties=species:S:1:pos:R:3 comment="GGA-PBE BeAs2Os, optimized geometry" total_magnetization_mub_per_fu=0.0 ef_ev_per_atom=0.439 pbc="T T T"
Os 1.4936 1.4937 4.9316
As 0.0000 0.0000 3.3008
As 0.0000 0.0000 6.5625
Be 1.4936 1.4937 1.6439

Entry 8:
4
Lattice="-0.4316 5.9212 4.6464 1.0327 4.1047 6.2386 2.3665 5.7013 4.3279" Properties=species:S:1:pos:R:3 comment="GGA-PBE Be2AsOs, optimized geometry" total_magnetization_mub_per_fu=0.0 ef_ev_per_atom=0.239 pbc="T T T"
Os 0.7419 3.9318 3.8032
As 2.2257 11.7955 11.4097
Be 2.9537 15.6540 15.1420
Be 1.4976 7.9369 7.6773

Entry 9:
4
Lattice="2.9704 0.0000 0.0000 0.0000 2.9704 0.0000 0.0000 0.0000 7.7659" Properties=species:S:1:pos:R:3 comment="GGA-PBE BeAs2Os, optimized geometry" total_magnetization_mub_per_fu=0.0 ef_ev_per_atom=0.017 pbc="T T T"
Os 1.4852 1.4852 5.3812
Be 0.0000 0.0000 4.2821
As 1.4852 1.4852 2.7708
As 0.0000 0.0000 6.9806

Entry 10:
5
Lattice="4.1170 0.0000 0.0000 0.0000 4.1170 0.0000 0.0000 0.0000 4.1170" Properties=species:S:1:pos:R:3 comment="GGA-PBE Be3AsOs, optimized geometry" total_magnetization_mub_per_fu=1.0 de_polymorph_mev_per_atom=459.6 ef_ev_per_atom=1.276 pbc="T T T"
Be 0.0000 2.0585 0.0000
Be 2.0585 0.0000 0.0000
Be 0.0000 0.0000 2.0585
As 0.0000 0.0000 0.0000
Os 2.0585 2.0585 2.0585

Entry 11:
4
Lattice="2.7353 -0.0261 0.0000 -1.0835 2.5117 0.0000 0.0000 0.0000 7.6066" Properties=species:S:1:pos:R:3 comment="GGA-PBE Be2AsOs, optimized geometry" total_magnetization_mub_per_fu=0.0 ef_ev_per_atom=0.303 pbc="T T T"
Be 0.0000 0.0000 3.6230
Be 0.0000 0.0000 0.1803
As 0.8259 1.2428 5.7050
Os 0.8259 1.2428 1.9017

Entry 12:
4
Lattice="4.8156 -0.0011 -0.0068 1.5696 4.5526 0.0068 -2.6297 -3.0654 2.6226" Properties=species:S:1:pos:R:3 comment="GGA-PBE BeAs2Os, optimized geometry" total_magnetization_mub_per_fu=0.0 ef_ev_per_atom=0.470 pbc="T T T"
Be 3.1599 2.2525 0.0000
As 1.1930 1.9718 1.3147
As 0.0388 0.0277 0.0000
Os 2.5564 -0.4901 1.3079

no.,E_tot (eV per atom)
1,-5.930
2,-5.434
3,-5.640
4,-5.648
5,-6.131
6,-6.114
7,-5.624
8,-5.594
9,-6.047
10,-4.136
11,-5.530
12,-5.594